First-principles (GGA-PBEsol) data for crystalline Tl3AsI at its relaxed geometry, as listed in Alexandria.

Computed properties:
- Magnetic moment: 0.00 μB per cell
- E_form (uncorrected): 0.042 eV/atom
- ΔE to the lowest computed polymorph: 0.00 eV per formula unit

Unit cell a=5.6050 b=5.6050 c=5.6050 alpha=90.00 beta=90.00 gamma=90.00
Fractional positions:
Tl1 0.0000 0.0000 0.5000
Tl2 0.5000 0.0000 0.0000
I1 0.5000 0.5000 0.5000
Tl3 0.0000 0.5000 0.0000
As1 0.0000 0.0000 0.0000


First-principles (GGA-PBEsol) data for crystalline AsWI3 at its relaxed geometry, as listed in Alexandria.

Computed properties:
- Magnetic moment: 5.16 μB per cell
- E_form (uncorrected): 1.476 eV/atom

Unit cell a=5.5544 b=5.5544 c=5.5544 alpha=90.00 beta=90.00 gamma=90.00
Last column: magnetic moment on the atom in μB.
Fractional positions:
I1 0.0000 0.0000 0.5000  0.01
W1 0.5000 0.5000 0.5000  3.56
I2 0.0000 0.5000 0.0000  0.01
As1 0.0000 0.0000 0.0000  0.01
I3 0.5000 0.0000 0.0000  0.01


First-principles (GGA-PBEsol) data for crystalline YAs2I at its relaxed geometry, as listed in Alexandria.

Computed properties:
- Magnetic moment: 0.00 μB per cell
- E_form (uncorrected): -0.025 eV/atom

Unit cell a=5.1008 b=5.1008 c=5.1008 alpha=60.00 beta=60.00 gamma=60.00
Fractional positions:
As1 0.2500 0.2500 0.2500
As2 0.7500 0.7500 0.7500
I1 0.5000 0.5000 0.5000
Y1 0.0000 0.0000 0.0000


First-principles (GGA-PBEsol) data for crystalline ZnAsI3 at its relaxed geometry, as listed in Alexandria.

Computed properties:
- Magnetic moment: 1.96 μB per cell
- E_form (uncorrected): 0.401 eV/atom

Unit cell a=5.4462 b=5.4462 c=5.4462 alpha=90.00 beta=90.00 gamma=90.00
Last column: magnetic moment on the atom in μB.
Fractional positions:
I1 0.0000 0.0000 0.5000  0.00
I2 0.5000 0.0000 0.0000  0.00
Zn1 0.0000 0.0000 0.0000  0.01
As1 0.5000 0.5000 0.5000  0.88
I3 0.0000 0.5000 0.0000  0.00